Record 1
A relaxed structure of Li4Cd2SnAu, computed with GGA-PBE.

Output
* calculated total energy: -19.8 eV for the cell shown

Cell lengths 4.619, 4.619, 6.638 Å; angles 90.00, 90.00, 90.00 degrees
Space group P-4m2 (No. 115)
Asymmetric unit:
Li 0.000 0.000 0.000 (multiplicity 1)
Li 0.000 0.500 0.232 (multiplicity 2)
Li 0.500 0.500 0.500 (multiplicity 1)
Cd 0.000 0.500 0.761 (multiplicity 2)
Sn 0.000 0.000 0.500 (multiplicity 1)
Au 0.500 0.500 0.000 (multiplicity 1)

Record 2
A relaxed structure of LiTmCd2Au4, computed with GGA-PBE.

Output
* magnetization: 0.00 μB/f.u.
* calculated total energy: -25.4 eV for the cell shown

Cell lengths 4.814, 4.814, 6.699 Å; angles 90.00, 90.00, 90.00 degrees
Space group P4/mmm (No. 123)
Asymmetric unit:
Li 0.000 0.000 0.000 (multiplicity 1)
Tm 0.500 0.500 0.500 (multiplicity 1)
Cd 0.000 0.000 0.500 (multiplicity 1)
Cd 0.500 0.500 0.000 (multiplicity 1)
Au 0.000 0.500 0.236 (multiplicity 4)

Record 3
A relaxed structure of Li4ZnCdAu2, computed with GGA-PBE.

Output
* calculated total energy: -19.8 eV for the cell shown

Cell lengths 4.442, 4.442, 6.423 Å; angles 90.00, 90.00, 90.00 degrees
Space group P-4m2 (No. 115)
Asymmetric unit:
Li 0.000 0.000 0.000 (multiplicity 1)
Li 0.000 0.500 0.731 (multiplicity 2)
Li 0.500 0.500 0.500 (multiplicity 1)
Zn 0.000 0.000 0.500 (multiplicity 1)
Cd 0.500 0.500 0.000 (multiplicity 1)
Au 0.000 0.500 0.273 (multiplicity 2)

Record 4
A relaxed structure of LiZrCd2Au4, computed with GGA-PBE.

Output
* magnetization: 0.01 μB/f.u.
* calculated total energy: -28.6 eV for the cell shown

Cell lengths 4.775, 4.775, 6.605 Å; angles 90.00, 90.00, 90.00 degrees
Space group P4/mmm (No. 123)
Asymmetric unit:
Li 0.000 0.000 0.000 (multiplicity 1)
Zr 0.500 0.500 0.500 (multiplicity 1)
Cd 0.000 0.000 0.500 (multiplicity 1)
Cd 0.500 0.500 0.000 (multiplicity 1)
Au 0.000 0.500 0.244 (multiplicity 4)

Record 5
A relaxed structure of LuCdAu, computed with GGA-PBE.

Output
* formation energy from the elements: -0.16 eV/atom
* magnetization: 0.00 μB/f.u.

Cell lengths 6.773, 6.773, 6.773 Å; angles 90.00, 90.00, 90.00 degrees
Space group F-43m (No. 216)
Asymmetric unit:
Lu 0.000 0.000 0.000 (multiplicity 4)
Cd 0.250 0.250 0.250 (multiplicity 4)
Au 0.250 0.250 0.750 (multiplicity 4)

Record 6
A relaxed structure of LuCdAu, computed with GGA-PBE.

Output
* formation energy from the elements: -0.51 eV/atom
* magnetization: 0.00 μB/f.u.

Cell lengths 6.684, 6.684, 6.684 Å; angles 90.00, 90.00, 90.00 degrees
Space group F-43m (No. 216)
Asymmetric unit:
Lu 0.000 0.000 0.000 (multiplicity 4)
Cd 0.000 0.000 0.500 (multiplicity 4)
Au 0.250 0.250 0.750 (multiplicity 4)

Record 7
A relaxed structure of LuMgCdAu, computed with GGA-PBE.

Output
* E above lowest polymorph: 121 meV per atom
* magnetization: 0.00 μB/f.u.

Cell lengths 6.910, 6.910, 6.910 Å; angles 90.00, 90.00, 90.00 degrees
Space group F-43m (No. 216)
Asymmetric unit:
Lu 0.000 0.000 0.000 (multiplicity 4)
Mg 0.250 0.250 0.250 (multiplicity 4)
Cd 0.000 0.000 0.500 (multiplicity 4)
Au 0.250 0.250 0.750 (multiplicity 4)

Record 8
A relaxed structure of LuMgCdAu, computed with GGA-PBE.

Output
* E above lowest polymorph: 0 meV per atom
* magnetization: 0.00 μB/f.u.

Cell lengths 6.947, 6.947, 6.947 Å; angles 90.00, 90.00, 90.00 degrees
Space group F-43m (No. 216)
Asymmetric unit:
Lu 0.000 0.000 0.000 (multiplicity 4)
Mg 0.000 0.000 0.500 (multiplicity 4)
Cd 0.250 0.250 0.250 (multiplicity 4)
Au 0.250 0.250 0.750 (multiplicity 4)

Record 9
A relaxed structure of LuMgCdAu, computed with GGA-PBE.

Output
* E above lowest polymorph: 217 meV per atom
* magnetization: 0.00 μB/f.u.

Cell lengths 6.885, 6.885, 6.885 Å; angles 90.00, 90.00, 90.00 degrees
Space group F-43m (No. 216)
Asymmetric unit:
Lu 0.000 0.000 0.000 (multiplicity 4)
Mg 0.250 0.250 0.250 (multiplicity 4)
Cd 0.250 0.250 0.750 (multiplicity 4)
Au 0.000 0.000 0.500 (multiplicity 4)

Record 10
A relaxed structure of LuCdPdAu, computed with GGA-PBE.

Output
* formation energy from the elements: -0.52 eV/atom
* E above lowest polymorph: 191 meV per atom
* magnetization: 0.00 μB/f.u.

Cell lengths 6.788, 6.788, 6.788 Å; angles 90.00, 90.00, 90.00 degrees
Space group F-43m (No. 216)
Asymmetric unit:
Lu 0.000 0.000 0.000 (multiplicity 4)
Cd 0.250 0.250 0.750 (multiplicity 4)
Pd 0.250 0.250 0.250 (multiplicity 4)
Au 0.000 0.000 0.500 (multiplicity 4)

Record 11
A relaxed structure of LuCdPdAu, computed with GGA-PBE.

Output
* formation energy from the elements: -0.71 eV/atom
* E above lowest polymorph: 0 meV per atom
* magnetization: 0.00 μB/f.u.

Cell lengths 6.795, 6.795, 6.795 Å; angles 90.00, 90.00, 90.00 degrees
Space group F-43m (No. 216)
Asymmetric unit:
Lu 0.000 0.000 0.000 (multiplicity 4)
Cd 0.000 0.000 0.500 (multiplicity 4)
Pd 0.250 0.250 0.250 (multiplicity 4)
Au 0.250 0.250 0.750 (multiplicity 4)

Record 12
A relaxed structure of LuCdPdAu, computed with GGA-PBE.

Output
* formation energy from the elements: -0.54 eV/atom
* E above lowest polymorph: 170 meV per atom
* magnetization: 0.00 μB/f.u.

Cell lengths 6.795, 6.795, 6.795 Å; angles 90.00, 90.00, 90.00 degrees
Space group F-43m (No. 216)
Asymmetric unit:
Lu 0.000 0.000 0.000 (multiplicity 4)
Cd 0.250 0.250 0.250 (multiplicity 4)
Pd 0.000 0.000 0.500 (multiplicity 4)
Au 0.250 0.250 0.750 (multiplicity 4)

Record 13
A relaxed structure of SrLuCdAu, computed with GGA-PBE.

Output
* E above lowest polymorph: 212 meV per atom
* magnetization: 0.00 μB/f.u.

Cell lengths 7.241, 7.241, 7.241 Å; angles 90.00, 90.00, 90.00 degrees
Space group F-43m (No. 216)
Asymmetric unit:
Sr 0.000 0.000 0.000 (multiplicity 4)
Lu 0.250 0.250 0.750 (multiplicity 4)
Cd 0.250 0.250 0.250 (multiplicity 4)
Au 0.000 0.000 0.500 (multiplicity 4)

Record 14
A relaxed structure of SrLuCdAu, computed with GGA-PBE.

Output
* E above lowest polymorph: 0 meV per atom
* magnetization: 0.00 μB/f.u.

Cell lengths 7.489, 7.489, 7.489 Å; angles 90.00, 90.00, 90.00 degrees
Space group F-43m (No. 216)
Asymmetric unit:
Sr 0.000 0.000 0.000 (multiplicity 4)
Lu 0.000 0.000 0.500 (multiplicity 4)
Cd 0.250 0.250 0.750 (multiplicity 4)
Au 0.250 0.250 0.250 (multiplicity 4)

Record 15
A relaxed structure of LuZnCdAu, computed with GGA-PBE.

Output
* formation energy from the elements: -0.34 eV/atom
* E above lowest polymorph: 131 meV per atom
* magnetization: 0.00 μB/f.u.

Cell lengths 6.762, 6.762, 6.762 Å; angles 90.00, 90.00, 90.00 degrees
Space group F-43m (No. 216)
Asymmetric unit:
Lu 0.000 0.000 0.000 (multiplicity 4)
Zn 0.250 0.250 0.250 (multiplicity 4)
Cd 0.250 0.250 0.750 (multiplicity 4)
Au 0.000 0.000 0.500 (multiplicity 4)

Record 16
A relaxed structure of LuZnCdAu, computed with GGA-PBE.

Output
* formation energy from the elements: -0.41 eV/atom
* E above lowest polymorph: 66 meV per atom
* magnetization: 0.00 μB/f.u.

Cell lengths 6.803, 6.803, 6.803 Å; angles 90.00, 90.00, 90.00 degrees
Space group F-43m (No. 216)
Asymmetric unit:
Lu 0.000 0.000 0.000 (multiplicity 4)
Zn 0.000 0.000 0.500 (multiplicity 4)
Cd 0.250 0.250 0.250 (multiplicity 4)
Au 0.250 0.250 0.750 (multiplicity 4)

Record 17
A relaxed structure of LuZnCdAu, computed with GGA-PBE.

Output
* formation energy from the elements: -0.47 eV/atom
* E above lowest polymorph: 0 meV per atom
* magnetization: 0.00 μB/f.u.

Cell lengths 6.807, 6.807, 6.807 Å; angles 90.00, 90.00, 90.00 degrees
Space group F-43m (No. 216)
Asymmetric unit:
Lu 0.000 0.000 0.000 (multiplicity 4)
Zn 0.250 0.250 0.250 (multiplicity 4)
Cd 0.000 0.000 0.500 (multiplicity 4)
Au 0.250 0.250 0.750 (multiplicity 4)

Record 18
A relaxed structure of MgCd2Au, computed with GGA-PBE.

Output
* calculated total energy: -30.1 eV for the cell shown

Cell lengths 6.791, 6.791, 6.791 Å; angles 90.00, 90.00, 90.00 degrees
Space group F-43m (No. 216)
Asymmetric unit:
Mg 0.000 0.000 0.000 (multiplicity 4)
Cd 0.000 0.000 0.500 (multiplicity 4)
Cd 0.250 0.250 0.750 (multiplicity 4)
Au 0.250 0.250 0.250 (multiplicity 4)

Record 19
A relaxed structure of Mg2CdAu, computed with GGA-PBE.

Output
* E above lowest polymorph: 100 meV per atom

Cell lengths 4.751, 6.296, 10.472 Å; angles 90.00, 90.00, 90.00 degrees
Space group Amm2 (No. 38)
Asymmetric unit:
Mg 0.000 0.000 0.000 (multiplicity 2)
Mg 0.000 0.244 0.741 (multiplicity 4)
Mg 0.500 0.000 0.333 (multiplicity 2)
Cd 0.000 0.000 0.491 (multiplicity 2)
Cd 0.500 0.000 0.830 (multiplicity 2)
Au 0.500 0.241 0.087 (multiplicity 4)

Record 20
A relaxed structure of MgCd2Au5, computed with GGA-PBE.

Output
* calculated total energy: -43.4 eV for the cell shown

Cell lengths 4.839, 6.126, 10.038 Å; angles 90.00, 90.00, 90.00 degrees
Space group Amm2 (No. 38)
Asymmetric unit:
Mg 0.000 0.000 0.000 (multiplicity 2)
Cd 0.000 0.000 0.489 (multiplicity 2)
Cd 0.500 0.000 0.801 (multiplicity 2)
Au 0.000 0.246 0.740 (multiplicity 4)
Au 0.500 0.000 0.309 (multiplicity 2)
Au 0.500 0.239 0.053 (multiplicity 4)

Record 21
A relaxed structure of MgCd6Au, computed with GGA-PBE.

Output
* calculated total energy: -10.9 eV for the cell shown

Cell lengths 6.2748, 6.2748, 4.8757 Å; angles 90.00, 90.00, 120.00 degrees
Space group P-6m2 (No. 187)
Asymmetric unit:
Mg 0.0000 0.0000 0.0000 (multiplicity 1)
Cd 0.0040 0.5020 0.0000 (multiplicity 3)
Cd 0.3289 0.1645 0.5000 (multiplicity 3)
Au 0.3333 0.6667 0.5000 (multiplicity 1)

Record 22
A relaxed structure of Mg2CdAu, computed with GGA-PBE.

Output
* E above lowest polymorph: 98 meV per atom

Cell lengths 4.946, 10.670, 5.952 Å; angles 90.00, 90.00, 90.00 degrees
Space group Ama2 (No. 40)
Asymmetric unit:
Mg 0.250 0.085 0.000 (multiplicity 4)
Mg 0.250 0.344 0.773 (multiplicity 4)
Cd 0.250 0.340 0.265 (multiplicity 4)
Au 0.250 0.094 0.493 (multiplicity 4)

Record 23
A relaxed structure of Mg2CdAu, computed with GGA-PBE.

Output
* E above lowest polymorph: 0 meV per atom

Cell lengths 6.247, 10.124, 4.832 Å; angles 90.00, 90.00, 90.00 degrees
Space group Cmcm (No. 63)
Asymmetric unit:
Mg 0.238 0.100 0.250 (multiplicity 8)
Cd 0.000 0.350 0.250 (multiplicity 4)
Au 0.000 0.158 0.750 (multiplicity 4)

Record 24
A relaxed structure of MgCdAu6, computed with GGA-PBE.

Output
* calculated total energy: -24.2 eV for the cell shown

Cell lengths 5.9005, 5.9005, 4.8388 Å; angles 90.00, 90.00, 120.00 degrees
Space group P-6m2 (No. 187)
Asymmetric unit:
Mg 0.0000 0.0000 0.0000 (multiplicity 1)
Cd 0.6667 0.3333 0.5000 (multiplicity 1)
Au 0.0011 0.5006 0.0000 (multiplicity 3)
Au 0.1647 0.3294 0.5000 (multiplicity 3)

Record 25
A relaxed structure of Mg3CdAu2, computed with GGA-PBE.

Output
* calculated total energy: -14.8 eV for the cell shown

Cell lengths 3.334, 3.334, 10.305 Å; angles 90.00, 90.00, 90.00 degrees
Space group P4/mmm (No. 123)
Asymmetric unit:
Mg 0.000 0.000 0.000 (multiplicity 1)
Mg 0.000 0.000 0.309 (multiplicity 2)
Cd 0.500 0.500 0.500 (multiplicity 1)
Au 0.500 0.500 0.159 (multiplicity 2)

Record 26
A relaxed structure of MgCd2Au, computed with GGA-PBE.

Output
* calculated total energy: -7.4 eV for the cell shown

Cell lengths 3.210, 4.764, 5.164 Å; angles 90.00, 90.00, 90.00 degrees
Space group Pmm2 (No. 25)
Asymmetric unit:
Mg 0.000 0.000 0.000 (multiplicity 1)
Cd 0.500 0.000 0.508 (multiplicity 1)
Cd 0.500 0.500 0.179 (multiplicity 1)
Au 0.000 0.500 0.698 (multiplicity 1)

Record 27
A relaxed structure of Nd3Mg3CdAu2, computed with GGA-PBE.

Output
* magnetization: 0.01 μB/f.u.
* calculated total energy: -31.0 eV for the cell shown

Cell lengths 7.8447, 7.8447, 4.2593 Å; angles 90.00, 90.00, 120.00 degrees
Space group P-62m (No. 189)
Asymmetric unit:
Nd 0.0000 0.4201 0.0000 (multiplicity 3)
Mg 0.0000 0.7491 0.5000 (multiplicity 3)
Cd 0.0000 0.0000 0.0000 (multiplicity 1)
Au 0.3333 0.6667 0.5000 (multiplicity 2)

Record 28
A relaxed structure of Pr3Mg3CdAu2, computed with GGA-PBE.

Output
* magnetization: 0.00 μB/f.u.
* calculated total energy: -31.0 eV for the cell shown

Cell lengths 7.8754, 7.8754, 4.2903 Å; angles 90.00, 90.00, 120.00 degrees
Space group P-62m (No. 189)
Asymmetric unit:
Pr 0.0000 0.4207 0.0000 (multiplicity 3)
Mg 0.0000 0.7499 0.5000 (multiplicity 3)
Cd 0.0000 0.0000 0.0000 (multiplicity 1)
Au 0.3333 0.6667 0.5000 (multiplicity 2)

Asked for calculated density across the records above, the calculation gives 6.66; 12.72; 7.85; 12.25; 10.35; 10.77; 10.24; 10.08; 10.35; 12.54; 12.51; 12.51; 10.01; 9.04; 11.81; 11.60; 11.58; 9.46; 7.59; 13.77; 8.95; 7.57; 7.78; 15.01; 8.40; 9.38; 7.40; 7.22 g cm⁻³ in order.